# 1
Below is KHg3Pb after structural relaxation, with properties calculated at the PBE level.

Lattice parameters (Å, degrees): 5.988 5.988 5.988 90.00 90.00 90.00
Atoms (fractional coordinates):
Hg 0.500 0.000 0.000
Hg 0.000 0.500 0.000
Hg 0.000 0.000 0.500
Pb 0.500 0.500 0.500
K 0.000 0.000 0.000

Electronic total energy (eV per atom): -0.7042
Space-group type: Pm-3m, No. 221
Energy relative to the lowest polymorph listed for this composition (meV/atom): 605.5
Density (g/cm3): 6.6

---

# 2
Below is KHg2Pb after structural relaxation, with properties calculated at the PBE level.

Lattice parameters (Å, degrees): 8.508 5.916 3.559 90.04 65.21 126.37
Atoms (fractional coordinates):
Hg 0.000 0.000 0.000
Hg 0.500 0.000 0.500
K 0.000 0.500 0.500
Pb 0.500 0.500 0.000

Electronic total energy (eV per atom): -1.4576
Space-group type: Cmmm, No. 65
Density (g/cm3): 8.7

---

The highest electronic total energy belongs to which entry? KHg3Pb